Compound: Ce4Te2PPb
Source: Alexandria
Functional: PBE
Structure: optimized geometry

Results
uncorrected formation energy: -1.1300 eV per atom
D(E_F): 24.453 states/eV/f.u.
magnetic moment: 3.75 μB/cell
space-group type: P2/m
electronic total energy: -6.02 eV per atom

```
Ce4Te2PPb
1.0
7.671 0.000 0.000
0.000 4.387 0.000
-2.520 0.000 7.263
Ce Te P Pb
4 2 1 1
direct
0.225 0.000 0.225
0.238 0.500 0.764
0.762 0.500 0.236
0.775 0.000 0.775
0.500 0.000 0.000
0.500 0.500 0.500
0.000 0.500 0.000
0.000 0.000 0.500
```

=====

Compound: La2YPu3Te6
Source: Alexandria
Functional: PBE
Structure: optimized geometry

Results
uncorrected formation energy: -1.3037 eV per atom
D(E_F): 32.607 states/eV/f.u.
magnetic moment: 17.97 μB/cell
space-group type: C2/m
electronic total energy: -7.82 eV per atom

```
La2YPu3Te6
1.0
9.771 -2.228 0.000
9.771 2.228 0.000
-2.148 0.000 8.720
La Y Pu Te
2 1 3 6
direct
0.166 0.166 0.333
0.834 0.834 0.667
0.500 0.500 0.000
0.169 0.169 0.835
0.500 0.500 0.500
0.831 0.831 0.165
0.004 0.004 0.756
0.335 0.335 0.410
0.336 0.336 0.925
0.664 0.664 0.075
0.665 0.665 0.590
0.996 0.996 0.244
```

=====

Compound: CaCe2UN4
Source: Alexandria
Functional: PBE
Structure: optimized geometry

Results
uncorrected formation energy: -1.3469 eV per atom
D(E_F): 9.307 states/eV/f.u.
magnetic moment: 2.43 μB/cell
space-group type: I-4m2
electronic total energy: -8.65 eV per atom

```
CaCe2UN4
1.0
-2.494 2.494 4.964
2.494 -2.494 4.964
2.494 2.494 -4.964
Ca Ce U N
1 2 1 4
direct
0.000 0.000 0.000
0.500 0.500 0.000
0.750 0.250 0.500
0.250 0.750 0.500
0.027 0.527 0.500
0.254 0.254 0.000
0.473 0.973 0.500
0.746 0.746 0.000
```

=====

Compound: InGaHgI2
Source: Alexandria
Functional: PBE
Structure: optimized geometry

Results
uncorrected formation energy: -0.2714 eV per atom
magnetic moment: 0.00 μB/cell
energy relative to the lowest polymorph listed for this composition: 0 meV per atom
space-group type: P2_1/m
electronic total energy: -2.10 eV per atom

```
InGaHgI2
1.0
8.687 0.000 0.000
0.000 4.639 0.000
-2.659 0.000 12.106
In Ga Hg I
2 2 2 4
direct
0.237 0.250 0.077
0.763 0.750 0.923
0.280 0.750 0.413
0.720 0.250 0.587
0.356 0.750 0.920
0.644 0.250 0.080
0.035 0.750 0.170
0.473 0.250 0.344
0.527 0.750 0.656
0.965 0.250 0.830
```

=====

Compound: K3LiTi
Source: Alexandria
Functional: PBE
Structure: optimized geometry

Results
D(E_F): 4.668 states/eV/f.u.
formation energy: 0.95 eV/atom
magnetic moment: 3.97 μB/cell
energy relative to the lowest polymorph listed for this composition: 0 meV per atom
space-group type: Pm-3m
electronic total energy: -1.67 eV per atom

```
K3LiTi
1.0
6.839 0.000 0.000
0.000 6.839 0.000
0.000 0.000 6.839
K Li Ti
3 1 1
direct
0.000 0.000 0.500
0.000 0.500 0.000
0.500 0.000 0.000
0.500 0.500 0.500
0.000 0.000 0.000
```

=====

Compound: Pr4OsSeBr2
Source: Alexandria
Functional: PBE
Structure: optimized geometry

Results
uncorrected formation energy: -1.1083 eV per atom
D(E_F): 6.343 states/eV/f.u.
magnetic moment: 0.00 μB/cell
space-group type: P2/m
electronic total energy: -5.76 eV per atom

```
Pr4OsSeBr2
1.0
7.677 0.000 0.000
0.000 4.165 0.000
-2.283 0.000 7.549
Pr Os Se Br
4 1 1 2
direct
0.212 0.000 0.201
0.245 0.500 0.794
0.755 0.500 0.206
0.788 0.000 0.799
0.000 0.500 0.000
0.500 0.000 0.000
0.000 0.000 0.500
0.500 0.500 0.500
```

=====

Compound: BeTl2S8
Source: Alexandria
Functional: PBE
Structure: optimized geometry

Results
uncorrected formation energy: 0.0322 eV per atom
D(E_F): 0.211 states/eV/f.u.
magnetic moment: 0.00 μB/cell
space-group type: P-1
electronic total energy: -3.74 eV per atom

```
BeTl2S8
1.0
4.952 0.000 0.000
0.686 5.035 0.000
0.971 0.594 11.167
Be Tl S
1 2 8
direct
0.000 0.000 0.000
0.238 0.430 0.625
0.762 0.570 0.375
0.175 0.573 0.990
0.178 0.042 0.790
0.225 0.926 0.158
0.295 0.341 0.396
0.705 0.659 0.604
0.775 0.074 0.842
0.822 0.958 0.210
0.825 0.427 0.010
```

=====

Compound: CoSbP2
Source: Alexandria
Functional: PBE
Structure: optimized geometry

Results
uncorrected formation energy: -0.0729 eV per atom
D(E_F): 1.539 states/eV/f.u.
magnetic moment: 0.00 μB/cell
space-group type: P2/m
electronic total energy: -5.58 eV per atom

```
CoSbP2
1.0
4.163 0.000 0.000
0.000 3.644 0.000
-1.247 0.000 4.386
Co Sb P
1 1 2
direct
0.000 0.000 0.000
0.500 0.000 0.500
0.239 0.500 0.856
0.761 0.500 0.144
```

=====

> Among the records above, which one has the highest magnetic moment?

La2YPu3Te6

=====

> Which of these has the highest electronic total energy?

K3LiTi

=====

> Look up the magnetic moment of the fourth one.

0.00 μB/cell